(1)
{"formula": "PuScTi", "functional": "GGA-PBE", "state": "relaxed", "delta_e_f_ev_per_atom": 0.1824, "n_ef_per_ev_atom": 2.8410, "magmom_total_mub_per_fu": 5.3, "lattice_angstrom": [[3.154, 0.000, 0.000], [-1.577, 2.731, 0.000], [0.000, 0.000, 7.594]], "species": ["Pu", "Sc", "Ti"], "fractional_positions": [[0.000, 0.000, 0.000], [0.667, 0.333, 0.364], [0.333, 0.667, 0.684]]}


(2)
{"formula": "PuSc2Ti", "functional": "GGA-PBE", "state": "relaxed", "delta_e_f_ev_per_atom": 0.1546, "n_ef_per_ev_atom": 2.7271, "magmom_total_mub_per_fu": 5.9, "lattice_angstrom": [[3.185, 0.000, 0.000], [-1.592, 2.758, 0.000], [0.000, 0.000, 31.113]], "species": ["Pu", "Pu", "Pu", "Sc", "Sc", "Sc", "Sc", "Sc", "Sc", "Ti", "Ti", "Ti"], "fractional_positions": [[0.000, 0.000, 0.000], [0.333, 0.667, 0.667], [0.667, 0.333, 0.333], [0.000, 0.000, 0.576], [0.000, 0.000, 0.756], [0.333, 0.667, 0.243], [0.333, 0.667, 0.423], [0.667, 0.333, 0.090], [0.667, 0.333, 0.910], [0.000, 0.000, 0.166], [0.333, 0.667, 0.833], [0.667, 0.333, 0.499]]}


(3)
{"formula": "Pu2ScTi", "functional": "GGA-PBE", "state": "relaxed", "delta_e_f_ev_per_atom": 0.1845, "n_ef_per_ev_atom": 3.2407, "magmom_total_mub_per_fu": 11.1, "lattice_angstrom": [[3.194, 0.000, 0.000], [-1.597, 2.766, 0.000], [0.000, 0.000, 30.691]], "species": ["Pu", "Pu", "Pu", "Pu", "Pu", "Pu", "Sc", "Sc", "Sc", "Ti", "Ti", "Ti"], "fractional_positions": [[0.000, 0.000, 0.245], [0.000, 0.000, 0.755], [0.333, 0.667, 0.421], [0.333, 0.667, 0.912], [0.667, 0.333, 0.088], [0.667, 0.333, 0.579], [0.000, 0.000, 0.000], [0.333, 0.667, 0.667], [0.667, 0.333, 0.333], [0.000, 0.000, 0.500], [0.333, 0.667, 0.167], [0.667, 0.333, 0.833]]}


(4)
{"formula": "PuSc2Ti", "functional": "GGA-PBE", "state": "relaxed", "delta_e_f_ev_per_atom": 0.1563, "n_ef_per_ev_atom": 2.5949, "magmom_total_mub_per_fu": 5.0, "lattice_angstrom": [[4.348, 0.000, 0.000], [0.000, 4.348, 0.000], [0.000, 0.000, 4.678]], "species": ["Pu", "Sc", "Sc", "Ti"], "fractional_positions": [[0.000, 0.000, 0.000], [0.000, 0.500, 0.500], [0.500, 0.000, 0.500], [0.500, 0.500, 0.000]]}


(5)
{"formula": "PuSc2Ti", "functional": "GGA-PBE", "state": "relaxed", "delta_e_f_ev_per_atom": 0.1515, "n_ef_per_ev_atom": 2.4895, "magmom_total_mub_per_fu": 5.6, "lattice_angstrom": [[3.168, 0.000, 0.000], [-1.584, 2.743, 0.000], [0.000, 0.000, 31.142]], "species": ["Pu", "Pu", "Pu", "Sc", "Sc", "Sc", "Sc", "Sc", "Sc", "Ti", "Ti", "Ti"], "fractional_positions": [[0.000, 0.000, 0.000], [0.333, 0.667, 0.667], [0.667, 0.333, 0.333], [0.000, 0.000, 0.244], [0.000, 0.000, 0.756], [0.333, 0.667, 0.423], [0.333, 0.667, 0.910], [0.667, 0.333, 0.090], [0.667, 0.333, 0.577], [0.000, 0.000, 0.500], [0.333, 0.667, 0.167], [0.667, 0.333, 0.833]]}


(6)
{"formula": "PuScTi", "functional": "GGA-PBE", "state": "relaxed", "delta_e_f_ev_per_atom": 0.1812, "n_ef_per_ev_atom": 2.3023, "magmom_total_mub_per_fu": 5.0, "lattice_angstrom": [[9.151, 0.000, 0.000], [0.000, 5.913, 0.000], [-2.682, 0.000, 4.693]], "species": ["Pu", "Pu", "Pu", "Pu", "Sc", "Sc", "Sc", "Sc", "Ti", "Ti", "Ti", "Ti"], "fractional_positions": [[0.144, 0.000, 0.233], [0.356, 0.500, 0.767], [0.644, 0.500, 0.233], [0.856, 0.000, 0.767], [0.183, 0.500, 0.100], [0.317, 0.000, 0.900], [0.683, 0.000, 0.100], [0.817, 0.500, 0.900], [0.000, 0.264, 0.500], [0.000, 0.736, 0.500], [0.500, 0.236, 0.500], [0.500, 0.764, 0.500]]}